The following is a DFT calculation (PBE with a Hubbard U) of a geometry-optimized ScMn2AlF structure.

extended XYZ file:
```
5
Lattice="4.548 0.000 0.000 0.000 4.512 0.000 0.000 0.000 4.548" Properties=species:S:1:pos:R:3 pbc="T T T"
F 0.000 0.000 0.000
Al 0.000 2.256 0.000
Sc 2.274 2.256 2.274
Mn 0.000 0.000 2.274
Mn 2.274 0.000 0.000
```

Results
* DFT total energy: -5.6393 eV per atom
* DOS at the Fermi energy: 3.84 states/eV/f.u.